A relaxed LaCrP2Cl crystal. Source: Alexandria via LeMat-Bulk, functional PBE-GGA.

The structure in POSCAR format:
```
LaCrP2Cl
1.0
4.601 0.000 0.000
0.000 4.601 0.000
0.000 0.000 4.813
La Cr P Cl
1 1 2 1
Direct
0.000 0.000 0.000
0.500 0.500 0.500
0.000 0.500 0.500
0.500 0.000 0.500
0.500 0.500 0.000
```

Summary:
DOS at the Fermi energy = 2.7 states/eV/cell
Energy relative to the elements, uncorrected = -0.70 eV/atom